This record from the Open Quantum Materials Database describes an optimized crystal structure of AcTbGa. The functional is PBE.

Geometry as CIF:
```
data_AcTbGa
_cell_length_a 7.511
_cell_length_b 7.511
_cell_length_c 7.511
_cell_angle_alpha 90.00
_cell_angle_beta 90.00
_cell_angle_gamma 90.00
_space_group_name_H-M_alt 'F -4 3 m'
_space_group_IT_number 216
_space_group_name_Hall 'F -4 2 3'
loop_
_atom_site_label
_atom_site_fract_x
_atom_site_fract_y
_atom_site_fract_z
Ac1 0.000 0.000 0.000
Tb1 0.250 0.250 0.250
Ga1 0.250 0.250 0.750
```

Properties
Energy above the most stable polymorph in this dataset = 0.694 eV/atom

This record from the Open Quantum Materials Database describes an optimized crystal structure of AcTbGa. The functional is PBE.

Geometry as CIF:
```
data_AcTbGa
_cell_length_a 7.370
_cell_length_b 7.370
_cell_length_c 7.370
_cell_angle_alpha 90.00
_cell_angle_beta 90.00
_cell_angle_gamma 90.00
_space_group_name_H-M_alt 'F -4 3 m'
_space_group_IT_number 216
_space_group_name_Hall 'F -4 2 3'
loop_
_atom_site_label
_atom_site_fract_x
_atom_site_fract_y
_atom_site_fract_z
Ac1 0.000 0.000 0.000
Tb1 0.000 0.000 0.500
Ga1 0.250 0.250 0.250
```

Properties
Energy above the most stable polymorph in this dataset = 0.000 eV/atom

This record from the Open Quantum Materials Database describes an optimized crystal structure of AcGaTc. The functional is PBE.

Geometry as CIF:
```
data_AcGaTc
_cell_length_a 6.996
_cell_length_b 6.996
_cell_length_c 6.996
_cell_angle_alpha 90.00
_cell_angle_beta 90.00
_cell_angle_gamma 90.00
_space_group_name_H-M_alt 'F -4 3 m'
_space_group_IT_number 216
_space_group_name_Hall 'F -4 2 3'
loop_
_atom_site_label
_atom_site_fract_x
_atom_site_fract_y
_atom_site_fract_z
Ac1 0.000 0.000 0.000
Ga1 0.250 0.250 0.750
Tc1 0.250 0.250 0.250
```

Properties
Energy above the most stable polymorph in this dataset = 0.669 eV/atom

This record from the Open Quantum Materials Database describes an optimized crystal structure of AcGaTc. The functional is PBE.

Geometry as CIF:
```
data_AcGaTc
_cell_length_a 6.746
_cell_length_b 6.746
_cell_length_c 6.746
_cell_angle_alpha 90.00
_cell_angle_beta 90.00
_cell_angle_gamma 90.00
_space_group_name_H-M_alt 'F -4 3 m'
_space_group_IT_number 216
_space_group_name_Hall 'F -4 2 3'
loop_
_atom_site_label
_atom_site_fract_x
_atom_site_fract_y
_atom_site_fract_z
Ac1 0.000 0.000 0.000
Ga1 0.250 0.250 0.250
Tc1 0.000 0.000 0.500
```

Properties
Energy above the most stable polymorph in this dataset = 0.000 eV/atom

This record from the Open Quantum Materials Database describes an optimized crystal structure of AcUGa. The functional is PBE.

Geometry as CIF:
```
data_AcUGa
_cell_length_a 7.275
_cell_length_b 7.275
_cell_length_c 7.275
_cell_angle_alpha 90.00
_cell_angle_beta 90.00
_cell_angle_gamma 90.00
_space_group_name_H-M_alt 'F -4 3 m'
_space_group_IT_number 216
_space_group_name_Hall 'F -4 2 3'
loop_
_atom_site_label
_atom_site_fract_x
_atom_site_fract_y
_atom_site_fract_z
Ac1 0.000 0.000 0.000
U1 0.000 0.000 0.500
Ga1 0.250 0.250 0.250
```

Properties
Energy above the most stable polymorph in this dataset = 0.000 eV/atom

This record from the Open Quantum Materials Database describes an optimized crystal structure of AcGaW. The functional is PBE.

Geometry as CIF:
```
data_AcGaW
_cell_length_a 6.812
_cell_length_b 6.812
_cell_length_c 6.812
_cell_angle_alpha 90.00
_cell_angle_beta 90.00
_cell_angle_gamma 90.00
_space_group_name_H-M_alt 'F -4 3 m'
_space_group_IT_number 216
_space_group_name_Hall 'F -4 2 3'
loop_
_atom_site_label
_atom_site_fract_x
_atom_site_fract_y
_atom_site_fract_z
Ac1 0.000 0.000 0.000
Ga1 0.250 0.250 0.250
W1 0.000 0.000 0.500
```

Properties
Energy above the most stable polymorph in this dataset = 0.000 eV/atom

This record from the Open Quantum Materials Database describes an optimized crystal structure of AcGaW. The functional is PBE.

Geometry as CIF:
```
data_AcGaW
_cell_length_a 7.218
_cell_length_b 7.218
_cell_length_c 7.218
_cell_angle_alpha 90.00
_cell_angle_beta 90.00
_cell_angle_gamma 90.00
_space_group_name_H-M_alt 'F -4 3 m'
_space_group_IT_number 216
_space_group_name_Hall 'F -4 2 3'
loop_
_atom_site_label
_atom_site_fract_x
_atom_site_fract_y
_atom_site_fract_z
Ac1 0.000 0.000 0.000
Ga1 0.250 0.250 0.750
W1 0.250 0.250 0.250
```

Properties
Energy above the most stable polymorph in this dataset = 0.720 eV/atom

This record from the Open Quantum Materials Database describes an optimized crystal structure of Ac2Zn3Ga5. The functional is PBE.

Geometry as CIF:
```
data_Ac2Zn3Ga5
_cell_length_a 4.486
_cell_length_b 4.486
_cell_length_c 10.546
_cell_angle_alpha 90.00
_cell_angle_beta 90.00
_cell_angle_gamma 90.00
_space_group_name_H-M_alt 'P -4 m 2'
_space_group_IT_number 115
_space_group_name_Hall 'P -4 -2'
loop_
_atom_site_label
_atom_site_fract_x
_atom_site_fract_y
_atom_site_fract_z
Ac1 0.000 0.500 0.247
Zn1 0.000 0.000 0.000
Zn2 0.000 0.500 0.877
Ga1 0.000 0.000 0.500
Ga2 0.000 0.500 0.637
Ga3 0.500 0.500 0.000
Ga4 0.500 0.500 0.500
```

Properties
Raw total energy = -3.182 eV per atom

Number 1: magnetization 0.008 μB per atom. Number 2: magnetization 0.224 μB per atom. Number 3: magnetization 0.365 μB per atom. Number 4: magnetization 0.016 μB per atom. Number 5: magnetization 1.239 μB per atom. Number 6: magnetization 0.446 μB per atom. Number 7: magnetization 0.980 μB per atom. Number 8: magnetization 0.000 μB per atom.